Model i:
An optimized crystal structure of PmMg3Cd2, computed with GGA-PBE.

Cell lengths 4.9547, 4.9547, 13.6307 Å; angles 90.00, 90.00, 120.00 degrees
Element x y z (fractional)
Pm (0.0000, 0.0000, 0.2500)
Pm (0.0000, 0.0000, 0.7500)
Mg (0.0000, 0.0000, 0.0000)
Mg (0.0000, 0.0000, 0.5000)
Mg (0.3333, 0.6667, 0.1032)
Mg (0.3333, 0.6667, 0.3968)
Mg (0.6667, 0.3333, 0.6032)
Mg (0.6667, 0.3333, 0.8968)
Cd (0.3333, 0.6667, 0.6299)
Cd (0.3333, 0.6667, 0.8701)
Cd (0.6667, 0.3333, 0.1299)
Cd (0.6667, 0.3333, 0.3701)

Output
SG: P6_3/mmc (194)

Model ii:
An optimized crystal structure of PmMg3Cd2, computed with GGA-PBE.

Cell lengths 8.8656, 8.8656, 7.6180 Å; angles 109.83, 109.83, 31.58 degrees
Element x y z (fractional)
Pm (0.1171, 0.1171, 0.1859)
Pm (0.8829, 0.8829, 0.8141)
Mg (0.0713, 0.0713, 0.7012)
Mg (0.3020, 0.3020, 0.0696)
Mg (0.3758, 0.3758, 0.4925)
Mg (0.6242, 0.6242, 0.5075)
Mg (0.6980, 0.6980, 0.9304)
Mg (0.9287, 0.9287, 0.2988)
Cd (0.2368, 0.2368, 0.6572)
Cd (0.4800, 0.4800, 0.1663)
Cd (0.5200, 0.5200, 0.8337)
Cd (0.7632, 0.7632, 0.3428)

Output
SG: C2/m (12)

Stability ranking, top and bottom: model i is the most stable and model ii is the least stable.

Model i:
An optimized crystal structure of Pm2Mg3Cd4, computed with GGA-PBE.

Cell lengths 5.1129, 5.1129, 9.7732 Å; angles 90.11, 90.11, 60.06 degrees
Element x y z (fractional)
Pm (0.1667, 0.1667, 0.2879)
Pm (0.8333, 0.8333, 0.7121)
Mg (0.1669, 0.1669, 0.9302)
Mg (0.5000, 0.5000, 0.5000)
Mg (0.8331, 0.8331, 0.0698)
Cd (0.1665, 0.1665, 0.6059)
Cd (0.4998, 0.4998, 0.1517)
Cd (0.5002, 0.5002, 0.8483)
Cd (0.8335, 0.8335, 0.3941)

Output
SG: C2/m (12)

Model ii:
An optimized crystal structure of Pm2Mg3Cd4, computed with GGA-PBE.

Cell lengths 9.1256, 9.1256, 8.4544 Å; angles 90.00, 90.00, 140.34 degrees
Element x y z (fractional)
Pm (0.0977, 0.9023, 0.8981)
Pm (0.4023, 0.5977, 0.3981)
Pm (0.5977, 0.4023, 0.6019)
Pm (0.9023, 0.0977, 0.1019)
Mg (0.0000, 0.0000, 0.5000)
Mg (0.0135, 0.4865, 0.7500)
Mg (0.4865, 0.0135, 0.2500)
Mg (0.5000, 0.5000, 0.0000)
Mg (0.5135, 0.9865, 0.7500)
Mg (0.9865, 0.5135, 0.2500)
Cd (0.1709, 0.8291, 0.5201)
Cd (0.1831, 0.3169, 0.7500)
Cd (0.3169, 0.1831, 0.2500)
Cd (0.3291, 0.6709, 0.0201)
Cd (0.6709, 0.3291, 0.9799)
Cd (0.6831, 0.8169, 0.7500)
Cd (0.8169, 0.6831, 0.2500)
Cd (0.8291, 0.1709, 0.4799)

Output
SG: Cmce (64)

Stability ranking, top and bottom: model i is the most stable and model ii is the least stable.

Model i:
An optimized crystal structure of PmMg3Cd, computed with GGA-PBE.

Cell lengths 7.6757, 7.6757, 7.5797 Å; angles 105.92, 105.92, 36.64 degrees
Element x y z (fractional)
Pm (0.1361, 0.1361, 0.4917)
Pm (0.8639, 0.8639, 0.5083)
Mg (0.0717, 0.0717, 0.8920)
Mg (0.2686, 0.2686, 0.1643)
Mg (0.3658, 0.3658, 0.8374)
Mg (0.6342, 0.6342, 0.1626)
Mg (0.7314, 0.7314, 0.8357)
Mg (0.9283, 0.9283, 0.1080)
Cd (0.4727, 0.4727, 0.3078)
Cd (0.5273, 0.5273, 0.6922)

Output
SG: C2/m (12)

Model ii:
An optimized crystal structure of PmMg3Cd, computed with GGA-PBE.

Cell lengths 7.3390, 4.6895, 7.6337 Å; angles 90.00, 103.25, 90.00 degrees
Element x y z (fractional)
Pm (0.0000, 0.0000, 0.0000)
Pm (0.4041, 0.5000, 0.3234)
Mg (0.1360, 0.0000, 0.5186)
Mg (0.2673, 0.5000, 0.8064)
Mg (0.4823, 0.0000, 0.0419)
Mg (0.5510, 0.0000, 0.6780)
Mg (0.8524, 0.5000, 0.6449)
Mg (0.9215, 0.5000, 0.2813)
Cd (0.6699, 0.5000, 0.9326)
Cd (0.7343, 0.0000, 0.3903)

Output
SG: Pm (6)

Stability ranking, top and bottom: model i is the most stable and model ii is the least stable.

Model i:
An optimized crystal structure of Pm4MgCd, computed with GGA-PBE.

Cell lengths 13.7417, 3.7370, 7.4364 Å; angles 90.00, 105.67, 90.00 degrees
Element x y z (fractional)
Pm (0.1554, 0.0000, 0.3303)
Pm (0.1570, 0.0000, 0.8263)
Pm (0.3430, 0.5000, 0.1737)
Pm (0.3446, 0.5000, 0.6697)
Pm (0.6554, 0.5000, 0.3303)
Pm (0.6570, 0.5000, 0.8263)
Pm (0.8430, 0.0000, 0.1737)
Pm (0.8446, 0.0000, 0.6697)
Mg (0.0000, 0.5000, 0.0000)
Mg (0.5000, 0.0000, 0.0000)
Cd (0.0000, 0.5000, 0.5000)
Cd (0.5000, 0.0000, 0.5000)

Output
SG: C2/m (12)

Model ii:
An optimized crystal structure of Pm4MgCd, computed with GGA-PBE.

Cell lengths 7.3342, 7.3329, 7.8389 Å; angles 90.00, 90.02, 90.00 degrees
Element x y z (fractional)
Pm (0.0000, 0.2502, 0.0000)
Pm (0.0000, 0.2502, 0.4853)
Pm (0.0000, 0.7498, 0.0000)
Pm (0.0000, 0.7498, 0.4853)
Pm (0.5000, 0.2498, 0.0000)
Pm (0.5000, 0.2498, 0.4853)
Pm (0.5000, 0.7502, 0.0000)
Pm (0.5000, 0.7502, 0.4853)
Mg (0.2508, 0.0000, 0.7422)
Mg (0.7508, 0.5000, 0.7422)
Cd (0.2500, 0.5000, 0.2426)
Cd (0.7500, 0.0000, 0.2426)

Output
SG: Cm (8)

Stability ranking, top and bottom: model i is the most stable and model ii is the least stable.

Model i:
An optimized crystal structure of PmMg4Cd2, computed with GGA-PBE.

Cell lengths 7.7259, 6.2769, 6.1771 Å; angles 76.68, 52.24, 51.08 degrees
Element x y z (fractional)
Pm (0.0000, 0.0000, 0.0000)
Mg (0.0000, 0.0000, 0.5000)
Mg (0.2500, 0.2500, 0.2500)
Mg (0.5000, 0.5000, 0.0000)
Mg (0.7500, 0.7500, 0.7500)
Cd (0.3410, 0.3410, 0.6590)
Cd (0.6590, 0.6590, 0.3410)

Output
SG: Fmmm (69)

Model ii:
An optimized crystal structure of PmMg4Cd2, computed with GGA-PBE.

Cell lengths 8.4814, 8.4814, 4.7234 Å; angles 90.00, 90.00, 90.00 degrees
Element x y z (fractional)
Pm (0.0000, 0.0000, 0.0000)
Pm (0.5000, 0.5000, 0.5000)
Mg (0.0969, 0.3462, 0.5000)
Mg (0.1538, 0.5969, 0.0000)
Mg (0.3462, 0.0969, 0.5000)
Mg (0.4031, 0.8462, 0.0000)
Mg (0.5969, 0.1538, 0.0000)
Mg (0.6538, 0.9031, 0.5000)
Mg (0.8462, 0.4031, 0.0000)
Mg (0.9031, 0.6538, 0.5000)
Cd (0.2114, 0.7886, 0.5000)
Cd (0.2886, 0.2886, 0.0000)
Cd (0.7114, 0.7114, 0.0000)
Cd (0.7886, 0.2114, 0.5000)

Output
SG: P4_2/mnm (136)

Stability ranking, top and bottom: model ii is the most stable and model i is the least stable.

Model i:
An optimized crystal structure of PmMgCd3, computed with GGA-PBE.

Cell lengths 8.0251, 8.0251, 6.7873 Å; angles 103.96, 103.96, 35.71 degrees
Element x y z (fractional)
Pm (0.1259, 0.1259, 0.4824)
Pm (0.8741, 0.8741, 0.5176)
Mg (0.4792, 0.4792, 0.2659)
Mg (0.5208, 0.5208, 0.7341)
Cd (0.0857, 0.0857, 0.9357)
Cd (0.2786, 0.2786, 0.2012)
Cd (0.3362, 0.3362, 0.7973)
Cd (0.6638, 0.6638, 0.2027)
Cd (0.7214, 0.7214, 0.7988)
Cd (0.9143, 0.9143, 0.0643)

Output
SG: C2/m (12)

Model ii:
An optimized crystal structure of PmMgCd3, computed with GGA-PBE.

Cell lengths 6.9712, 6.9712, 5.9839 Å; angles 90.00, 90.00, 120.00 degrees
Element x y z (fractional)
Pm (0.3333, 0.6667, 0.2500)
Pm (0.6667, 0.3333, 0.7500)
Mg (0.0000, 0.0000, 0.0000)
Mg (0.0000, 0.0000, 0.5000)
Cd (0.1959, 0.3919, 0.7500)
Cd (0.1959, 0.8041, 0.7500)
Cd (0.3919, 0.1959, 0.2500)
Cd (0.6081, 0.8041, 0.7500)
Cd (0.8041, 0.1959, 0.2500)
Cd (0.8041, 0.6081, 0.2500)

Output
SG: P6_3/mmc (194)

Stability ranking, top and bottom: model i is the most stable and model ii is the least stable.

Model i:
An optimized crystal structure of Pm4MgCd2, computed with GGA-PBE.

Cell lengths 9.0483, 9.0483, 9.0483 Å; angles 34.51, 34.51, 34.51 degrees
Element x y z (fractional)
Pm (0.1129, 0.1129, 0.1129)
Pm (0.3679, 0.3679, 0.3679)
Pm (0.6321, 0.6321, 0.6321)
Pm (0.8871, 0.8871, 0.8871)
Mg (0.5000, 0.5000, 0.5000)
Cd (0.2403, 0.2403, 0.2403)
Cd (0.7597, 0.7597, 0.7597)

Output
SG: R-3m (166)

Model ii:
An optimized crystal structure of Pm4MgCd2, computed with GGA-PBE.

Cell lengths 7.6040, 6.4886, 9.1918 Å; angles 90.00, 112.11, 90.00 degrees
Element x y z (fractional)
Pm (0.0370, 0.2500, 0.4181)
Pm (0.1111, 0.7500, 0.2651)
Pm (0.3974, 0.0160, 0.7739)
Pm (0.3974, 0.4840, 0.7739)
Pm (0.6026, 0.5160, 0.2261)
Pm (0.6026, 0.9840, 0.2261)
Pm (0.8889, 0.2500, 0.7349)
Pm (0.9630, 0.7500, 0.5819)
Mg (0.2047, 0.2500, 0.1032)
Mg (0.7953, 0.7500, 0.8968)
Cd (0.2061, 0.7500, 0.9645)
Cd (0.4699, 0.2500, 0.4655)
Cd (0.5301, 0.7500, 0.5345)
Cd (0.7939, 0.2500, 0.0355)

Output
SG: P2_1/m (11)

Stability ranking, top and bottom: model i is the most stable and model ii is the least stable.

Model i:
An optimized crystal structure of PmMgCdRh, computed with GGA-PBE.

Cell lengths 7.0074, 7.0074, 7.0074 Å; angles 90.00, 90.00, 90.00 degrees
Element x y z (fractional)
Pm (0.0000, 0.0000, 0.0000)
Pm (0.0000, 0.5000, 0.5000)
Pm (0.5000, 0.0000, 0.5000)
Pm (0.5000, 0.5000, 0.0000)
Mg (0.0000, 0.0000, 0.5000)
Mg (0.0000, 0.5000, 0.0000)
Mg (0.5000, 0.0000, 0.0000)
Mg (0.5000, 0.5000, 0.5000)
Cd (0.2500, 0.2500, 0.2500)
Cd (0.2500, 0.7500, 0.7500)
Cd (0.7500, 0.2500, 0.7500)
Cd (0.7500, 0.7500, 0.2500)
Rh (0.2500, 0.2500, 0.7500)
Rh (0.2500, 0.7500, 0.2500)
Rh (0.7500, 0.2500, 0.2500)
Rh (0.7500, 0.7500, 0.7500)

Output
SG: F-43m (216)

Model ii:
An optimized crystal structure of PmMgCdRh, computed with GGA-PBE.

Cell lengths 3.4187, 3.4187, 7.4070 Å; angles 90.00, 90.00, 90.00 degrees
Element x y z (fractional)
Pm (0.0000, 0.0000, 0.0000)
Mg (0.0000, 0.0000, 0.4256)
Cd (0.5000, 0.5000, 0.6704)
Rh (0.5000, 0.5000, 0.2343)

Output
SG: P4mm (99)

Stability ranking, top and bottom: model ii is the most stable and model i is the least stable.

Model i:
An optimized crystal structure of PmMgCdSn, computed with GGA-PBE.

Cell lengths 7.4079, 7.4079, 7.4079 Å; angles 90.00, 90.00, 90.00 degrees
Element x y z (fractional)
Pm (0.0000, 0.0000, 0.0000)
Pm (0.0000, 0.5000, 0.5000)
Pm (0.5000, 0.0000, 0.5000)
Pm (0.5000, 0.5000, 0.0000)
Mg (0.0000, 0.0000, 0.5000)
Mg (0.0000, 0.5000, 0.0000)
Mg (0.5000, 0.0000, 0.0000)
Mg (0.5000, 0.5000, 0.5000)
Cd (0.2500, 0.2500, 0.2500)
Cd (0.2500, 0.7500, 0.7500)
Cd (0.7500, 0.2500, 0.7500)
Cd (0.7500, 0.7500, 0.2500)
Sn (0.2500, 0.2500, 0.7500)
Sn (0.2500, 0.7500, 0.2500)
Sn (0.7500, 0.2500, 0.2500)
Sn (0.7500, 0.7500, 0.7500)

Output
SG: F-43m (216)

Model ii:
An optimized crystal structure of PmMgCdSn, computed with GGA-PBE.

Cell lengths 4.4782, 4.6069, 4.8695 Å; angles 90.00, 90.00, 90.00 degrees
Element x y z (fractional)
Pm (0.0000, 0.0000, 0.0000)
Mg (0.0000, 0.5000, 0.5000)
Cd (0.5000, 0.0000, 0.5000)
Sn (0.5000, 0.5000, 0.0000)

Output
SG: Pmmm (47)

Stability ranking, top and bottom: model ii is the most stable and model i is the least stable.

Model i:
An optimized crystal structure of PrMg2Cd, computed with GGA-PBE.

Cell lengths 5.2387, 5.2387, 7.3620 Å; angles 90.00, 90.00, 90.00 degrees
Element x y z (fractional)
Pr (0.0000, 0.0000, 0.0000)
Pr (0.5000, 0.5000, 0.5000)
Mg (0.0000, 0.0000, 0.5000)
Mg (0.0000, 0.5000, 0.7500)
Mg (0.5000, 0.0000, 0.2500)
Mg (0.5000, 0.5000, 0.0000)
Cd (0.0000, 0.5000, 0.2500)
Cd (0.5000, 0.0000, 0.7500)

Output
SG: I-4m2 (119)

Model ii:
An optimized crystal structure of PrMg2Cd, computed with GGA-PBE.

Cell lengths 3.4658, 3.4658, 8.5623 Å; angles 90.00, 90.00, 90.00 degrees
Element x y z (fractional)
Pr (0.0000, 0.0000, 0.0000)
Mg (0.5000, 0.5000, 0.2888)
Mg (0.5000, 0.5000, 0.7112)
Cd (0.0000, 0.0000, 0.5000)

Output
SG: P4/mmm (123)

Stability ranking, top and bottom: model i is the most stable and model ii is the least stable.

Model i:
An optimized crystal structure of PrMg2Cd, computed with GGA-PBE.

Cell lengths 4.6539, 4.6539, 4.9051 Å; angles 90.00, 90.00, 90.00 degrees
Element x y z (fractional)
Pr (0.0000, 0.0000, 0.0000)
Mg (0.0000, 0.5000, 0.5000)
Mg (0.5000, 0.0000, 0.5000)
Cd (0.5000, 0.5000, 0.0000)

Output
SG: P4/mmm (123)

Model ii:
An optimized crystal structure of PrMg2Cd, computed with GGA-PBE.

Cell lengths 3.2668, 3.2668, 34.7743 Å; angles 90.00, 90.00, 120.00 degrees
Element x y z (fractional)
Pr (0.0000, 0.0000, 0.0000)
Pr (0.3333, 0.6667, 0.6667)
Pr (0.6667, 0.3333, 0.3333)
Mg (0.0000, 0.0000, 0.0950)
Mg (0.0000, 0.0000, 0.9050)
Mg (0.3333, 0.6667, 0.5717)
Mg (0.3333, 0.6667, 0.7617)
Mg (0.6667, 0.3333, 0.2383)
Mg (0.6667, 0.3333, 0.4283)
Cd (0.0000, 0.0000, 0.5000)
Cd (0.3333, 0.6667, 0.1667)
Cd (0.6667, 0.3333, 0.8333)

Output
SG: R-3m (166)

Stability ranking, top and bottom: model i is the most stable and model ii is the least stable.

Model i:
An optimized crystal structure of Pr3Mg4Cd2, computed with GGA-PBE.

Cell lengths 5.4930, 5.4930, 9.6492 Å; angles 96.42, 96.42, 58.60 degrees
Element x y z (fractional)
Pr (0.0000, 0.0000, 0.0000)
Pr (0.3690, 0.3690, 0.2591)
Pr (0.6310, 0.6310, 0.7409)
Mg (0.0527, 0.0527, 0.3603)
Mg (0.3207, 0.3207, 0.9039)
Mg (0.6793, 0.6793, 0.0961)
Mg (0.9473, 0.9473, 0.6397)
Cd (0.2841, 0.2841, 0.5994)
Cd (0.7159, 0.7159, 0.4006)

Output
SG: C2/m (12)

Model ii:
An optimized crystal structure of Pr3Mg4Cd2, computed with GGA-PBE.

Cell lengths 6.2448, 6.2448, 9.6939 Å; angles 119.32, 119.32, 49.53 degrees
Element x y z (fractional)
Pr (0.0000, 0.0000, 0.0000)
Pr (0.3361, 0.3361, 0.3323)
Pr (0.6639, 0.6639, 0.6677)
Mg (0.0650, 0.0650, 0.3947)
Mg (0.2843, 0.2843, 0.9479)
Mg (0.7157, 0.7157, 0.0521)
Mg (0.9350, 0.9350, 0.6053)
Cd (0.3889, 0.3889, 0.7228)
Cd (0.6111, 0.6111, 0.2772)

Output
SG: C2/m (12)

Stability ranking, top and bottom: model ii is the most stable and model i is the least stable.